A plane-wave DFT calculation with PBE was carried out for a geometry-optimized Ta2Mo structure.

```
6
Lattice="5.114 -1.630 0.000 5.114 1.630 0.000 -1.944 0.000 6.246" Properties=species:S:1:pos:R:3 pbc="T T T"
Ta 0.000 0.000 0.000
Ta -0.972 0.000 3.123
Ta 2.036 0.000 4.194
Ta 6.247 0.000 2.052
Mo 3.094 0.000 1.026
Mo 5.189 0.000 5.221
```

Computed properties:
* energy relative to the lowest polymorph listed for this composition: 50.1 meV/atom
* density: 14.60 g/cm3
* electronic total energy: -69.709 eV per cell
* symmetry: C2/m (12)
* formation energy from the elements: -0.32 eV/f.u.